CrFeO2F | SCAN | single point on PBEsol structure

The structure belongs to space group P4/mmm (No. 123); the cell edges are 3.774, 3.774 and 3.717 Å and the angles 90.00°, 90.00° and 90.00°. Symmetry generates all atoms from Cr at (0.000, 0.000, 0.000), Fe at (0.500, 0.500, 0.500), O at (0.000, 0.500, 0.000) and F at (0.000, 0.000, 0.500).

The value obtained for the total energy is -0.8910 Ry/atom. The calculation puts the magnetization at 6.8 μB/cell.

TaCr2FeF | SCAN | single point on PBEsol structure

The structure belongs to space group P4/mmm (No. 123); the cell edges are 3.805, 3.805 and 4.189 Å and the angles 90.00°, 90.00° and 90.00°. Symmetry generates all atoms from Ta at (0.000, 0.000, 0.000), Cr at (0.000, 0.500, 0.500), Fe at (0.500, 0.500, 0.000) and F at (0.000, 0.000, 0.500).

The value obtained for the total energy is -1.8131 Ry/atom. The calculation puts the magnetization at 4.6 μB/cell.

CrGe3F | SCAN | single point on PBEsol structure

The structure belongs to space group Pm-3m (No. 221); the cell edges are 4.420, 4.420 and 4.420 Å and the angles 90.00°, 90.00° and 90.00°. Symmetry generates all atoms from Cr at (0.000, 0.000, 0.000), Ge at (0.000, 0.500, 0.500) and F at (0.500, 0.500, 0.500).

The value obtained for the total energy is -1.1512 Ry/atom. The calculation puts the magnetization at 3.9 μB/cell.

Cr2NiGeF | SCAN | single point on PBEsol structure

The structure belongs to space group P4/mmm (No. 123); the cell edges are 4.169, 4.169 and 3.966 Å and the angles 90.00°, 90.00° and 90.00°. Symmetry generates all atoms from Cr at (0.000, 0.500, 0.000), Ni at (0.000, 0.000, 0.500), Ge at (0.500, 0.500, 0.500) and F at (0.000, 0.000, 0.000).

The value obtained for the total energy is -1.1180 Ry/atom. The calculation puts the magnetization at 9.1 μB/cell.

CrGePdF2 | SCAN | single point on PBEsol structure

The structure belongs to space group P4/mmm (No. 123); the cell edges are 3.710, 3.710 and 5.585 Å and the angles 90.00°, 90.00° and 90.00°. Symmetry generates all atoms from Cr at (0.000, 0.000, 0.000), Ge at (0.500, 0.500, 0.500), Pd at (0.000, 0.000, 0.500) and F at (0.000, 0.500, 0.000).

The value obtained for the total energy is -1.2438 Ry/atom. The calculation puts the magnetization at 3.4 μB/cell.

CrH3F | SCAN | single point on PBEsol structure

The structure belongs to space group Pm-3m (No. 221); the cell edges are 3.332, 3.332 and 3.332 Å and the angles 90.00°, 90.00° and 90.00°. Symmetry generates all atoms from Cr at (0.000, 0.000, 0.000), H at (0.000, 0.500, 0.500) and F at (0.500, 0.500, 0.500).

The value obtained for the total energy is -0.4139 Ry/atom. The calculation puts the magnetization at 3.5 μB/cell.

K2CrH2F8 | SCAN | single point on PBEsol structure

The structure belongs to space group P2_1/c (No. 14); the cell edges are 5.266, 7.957 and 8.466 Å and the angles 90.00°, 92.51° and 90.00°. Symmetry generates all atoms from K at (0.072, 0.184, 0.297), Cr at (0.500, 0.000, 0.000), H at (0.362, 0.675, 0.944), F at (0.194, 0.615, 0.935), F at (0.219, 0.563, 0.598), F at (0.320, 0.009, 0.814) and F at (0.420, 0.228, 0.039).

The value obtained for the total energy is -0.5876 Ry/atom. The calculation puts the magnetization at 4.0 μB/cell.

NaCrH8N2F6 | SCAN | single point on PBEsol structure

The structure belongs to space group Fm-3m (No. 225); the cell edges are 8.447, 8.447 and 8.447 Å and the angles 90.00°, 90.00° and 90.00°. Symmetry generates all atoms from Na at (0.000, 0.000, 0.000), Cr at (0.000, 0.000, 0.500), H at (0.179, 0.179, 0.321), N at (0.250, 0.250, 0.250) and F at (0.000, 0.000, 0.274).

The value obtained for the total energy is -0.4916 Ry/atom. The calculation puts the magnetization at 12.0 μB/cell.

CrH20N2O6F5 | SCAN | single point on PBEsol structure

The structure belongs to space group P-3c1 (No. 165); the cell edges are 6.8502, 6.8502 and 13.4090 Å and the angles 90.00°, 90.00° and 120.00°. Symmetry generates all atoms from Cr at (0.0000, 0.0000, 0.0000), H at (0.0997, 0.2597, 0.3456), H at (0.1887, 0.4221, 0.9413), H at (0.2031, 0.5114, 0.2013), H at (0.3333, 0.6667, 0.0967), N at (0.3333, 0.6667, 0.1748), O at (0.0918, 0.2643, 0.9130), F at (0.0000, 0.2778, 0.2500) and F at (0.3333, 0.6667, 0.4726).

The value obtained for the total energy is -0.4421 Ry/atom. The calculation puts the magnetization at 6.0 μB/cell.

Hf2Cr2F | SCAN | single point on PBEsol structure

The structure belongs to space group I4/mmm (No. 139); the cell edges are 3.259, 3.259 and 14.701 Å and the angles 90.00°, 90.00° and 90.00°. Symmetry generates all atoms from Hf at (0.000, 0.000, 0.108), Cr at (0.000, 0.500, 0.250) and F at (0.000, 0.000, 0.500).

The value obtained for the total energy is -2.4413 Ry/atom. The calculation puts the magnetization at 0.0 μB/cell.

HfCr2InF | SCAN | single point on PBEsol structure

The structure belongs to space group P4/mmm (No. 123); the cell edges are 4.675, 4.675 and 5.581 Å and the angles 90.00°, 90.00° and 90.00°. Symmetry generates all atoms from Hf at (0.000, 0.000, 0.000), Cr at (0.000, 0.500, 0.000), In at (0.000, 0.000, 0.500) and F at (0.500, 0.500, 0.500).

The value obtained for the total energy is -1.9263 Ry/atom. The calculation puts the magnetization at 6.6 μB/cell.

HfCrN2F | SCAN | single point on PBEsol structure

The structure belongs to space group P4/mmm (No. 123); the cell edges are 4.159, 4.159 and 3.947 Å and the angles 90.00°, 90.00° and 90.00°. Symmetry generates all atoms from Hf at (0.000, 0.000, 0.000), Cr at (0.500, 0.500, 0.500), N at (0.000, 0.500, 0.000) and F at (0.000, 0.000, 0.500).

The value obtained for the total energy is -1.5806 Ry/atom. The calculation puts the magnetization at 3.0 μB/cell.

HfCrO2F | SCAN | single point on PBEsol structure

The structure belongs to space group P4/mmm (No. 123); the cell edges are 3.811, 3.811 and 3.753 Å and the angles 90.00°, 90.00° and 90.00°. Symmetry generates all atoms from Hf at (0.000, 0.000, 0.000), Cr at (0.500, 0.500, 0.500), O at (0.000, 0.500, 0.500) and F at (0.500, 0.500, 0.000).

The value obtained for the total energy is -1.5568 Ry/atom. The calculation puts the magnetization at 1.4 μB/cell.

CrHgF6 | SCAN | single point on PBEsol structure

The structure belongs to space group R-3 (No. 148, hexagonal axes); the cell edges are 5.1103, 5.1103 and 14.2567 Å and the angles 90.00°, 90.00° and 120.00°. Symmetry generates all atoms from Cr at (0.0000, 0.0000, 0.0000), Hg at (0.0000, 0.0000, 0.5000) and F at (0.0179, 0.7177, 0.9258).

The value obtained for the total energy is -1.1546 Ry/atom. The calculation puts the magnetization at 6.0 μB/cell.

Cr2SnHgF | SCAN | single point on PBEsol structure

The structure belongs to space group P4/mmm (No. 123); the cell edges are 4.322, 4.322 and 4.964 Å and the angles 90.00°, 90.00° and 90.00°. Symmetry generates all atoms from Cr at (0.000, 0.500, 0.000), Sn at (0.000, 0.000, 0.500), Hg at (0.500, 0.500, 0.500) and F at (0.000, 0.000, 0.000).

The value obtained for the total energy is -2.1324 Ry/atom. The calculation puts the magnetization at 8.9 μB/cell.

CrI2NF | SCAN | single point on PBEsol structure

The structure belongs to space group P4/mmm (No. 123); the cell edges are 5.415, 5.415 and 3.630 Å and the angles 90.00°, 90.00° and 90.00°. Symmetry generates all atoms from Cr at (0.000, 0.000, 0.000), I at (0.000, 0.500, 0.500), N at (0.500, 0.500, 0.000) and F at (0.500, 0.500, 0.500).

The value obtained for the total energy is -1.4636 Ry/atom. The calculation puts the magnetization at 6.0 μB/cell.

CrIO2F | SCAN | single point on PBEsol structure

The structure belongs to space group P4/mmm (No. 123); the cell edges are 3.576, 3.576 and 5.366 Å and the angles 90.00°, 90.00° and 90.00°. Symmetry generates all atoms from Cr at (0.000, 0.000, 0.000), I at (0.000, 0.000, 0.500), O at (0.000, 0.500, 0.000) and F at (0.500, 0.500, 0.500).

The value obtained for the total energy is -1.1176 Ry/atom. The calculation puts the magnetization at 0.0 μB/cell.

CrTeI2F | SCAN | single point on PBEsol structure

The structure belongs to space group P4/mmm (No. 123); the cell edges are 5.727, 5.727 and 4.191 Å and the angles 90.00°, 90.00° and 90.00°. Symmetry generates all atoms from Cr at (0.000, 0.000, 0.000), Te at (0.500, 0.500, 0.000), I at (0.000, 0.500, 0.500) and F at (0.500, 0.500, 0.500).

The value obtained for the total energy is -1.9462 Ry/atom. The calculation puts the magnetization at 3.5 μB/cell.

CrInF2 | SCAN | single point on PBEsol structure

The structure belongs to space group R-3m (No. 166, hexagonal axes); the cell edges are 3.1070, 3.1070 and 23.5235 Å and the angles 90.00°, 90.00° and 120.00°. Symmetry generates all atoms from Cr at (0.0000, 0.0000, 0.0000), In at (0.0000, 0.0000, 0.5000) and F at (0.0000, 0.0000, 0.0799).

The value obtained for the total energy is -1.1961 Ry/atom. The calculation puts the magnetization at 12.6 μB/cell.

CrInF3 | SCAN | single point on PBEsol structure

The structure belongs to space group Pm-3m (No. 221); the cell edges are 4.347, 4.347 and 4.347 Å and the angles 90.00°, 90.00° and 90.00°. Symmetry generates all atoms from Cr at (0.000, 0.000, 0.000), In at (0.500, 0.500, 0.500) and F at (0.000, 0.500, 0.500).

The value obtained for the total energy is -1.0350 Ry/atom. The calculation puts the magnetization at 5.1 μB/cell.